Entry 1:
DFT (GGA-PBE) results for crystalline MgCuMo2 at its relaxed geometry.

Computed properties:
DOS at the Fermi energy, states/eV per atom: 1.246
Offset from the most stable computed form, meV/atom: 294
ΔH_f (0 K), eV per atom: 0.456
Final energy, eV per atom: -6.38

Unit cell a=2.7748 b=2.7748 c=28.3506 alpha=90.00 beta=90.00 gamma=120.00
With the nearest neighbours (Å) after each atom.
Space group R-3m (No. 166, hexagonal axes)
Inequivalent atoms, fractional coordinates:
Mg1 0.0000 0.0000 0.0000  6 Mg 2.77, 6 Mo 2.97
Cu1 0.0000 0.0000 0.5000  6 Mo 2.74, 6 Cu 2.77
Mo1 0.0000 0.0000 0.2453  3 Cu 2.74, 6 Mo 2.77, 3 Mg 2.97


Entry 2:
DFT (GGA-PBE) results for crystalline MgCuMo2 at its relaxed geometry.

Computed properties:
DOS at the Fermi energy, states/eV per atom: 0.743
Offset from the most stable computed form, meV/atom: 161
ΔH_f (0 K), eV per atom: 0.323
Final energy, eV per atom: -6.52

Unit cell a=2.6286 b=4.2117 c=5.6951 alpha=90.00 beta=90.00 gamma=90.00
With the nearest neighbours (Å) after each atom.
Space group Pmm2 (No. 25)
Inequivalent atoms, fractional coordinates:
Mg1 0.0000 0.0000 0.0000  2 Mg 2.63, 4 Cu 2.79, 2 Mo 2.79-2.90
Cu1 0.5000 0.5000 0.7753  2 Cu 2.63, 6 Mo 2.79-2.91, 4 Mg 2.79
Mo1 0.0000 0.0000 0.5096  6 Mo 2.63-2.79, 2 Mg 2.79-2.90, 4 Cu 2.91
Mo2 0.5000 0.5000 0.2852  6 Mo 2.63-2.79, 2 Cu 2.79-2.90


Entry 3:
DFT (GGA-PBE) results for crystalline MgCuMo2 at its relaxed geometry.

Computed properties:
DOS at the Fermi energy, states/eV per atom: 0.982
Offset from the most stable computed form, meV/atom: 75
ΔH_f (0 K), eV per atom: 0.236
Final energy, eV per atom: -6.60

Unit cell a=3.2379 b=3.2379 c=6.1086 alpha=90.00 beta=90.00 gamma=90.00
With the nearest neighbours (Å) after each atom.
Space group P4mm (No. 99)
Inequivalent atoms, fractional coordinates:
Mg1 0.0000 0.0000 0.0000  4 Cu 2.70, 4 Mo 2.93
Cu1 0.5000 0.5000 0.7655  4 Mg 2.70, 5 Mo 2.80-2.85
Mo1 0.0000 0.0000 0.5021  4 Mo 2.60, 4 Cu 2.80
Mo2 0.5000 0.5000 0.2990  4 Mo 2.60, 1 Cu 2.85


Entry 4:
DFT (GGA-PBE) results for crystalline MgCuMo2 at its relaxed geometry.

Computed properties:
DOS at the Fermi energy, states/eV per atom: 0.732
Offset from the most stable computed form, meV/atom: 138
ΔH_f (0 K), eV per atom: 0.299
Final energy, eV per atom: -6.54

Unit cell a=9.2023 b=2.6141 c=5.2032 alpha=90.00 beta=94.66 gamma=90.00
With the nearest neighbours (Å) after each atom.
Space group Cm (No. 8)
Inequivalent atoms, fractional coordinates:
Mg1 0.0000 0.0000 0.0000  2 Mg 2.61, 3 Cu 2.66-2.78, 5 Mo 2.79-2.93
Cu1 0.2475 0.5000 0.2151  2 Cu 2.61, 3 Mg 2.66-2.78, 6 Mo 2.83-2.93
Mo1 0.2428 0.0000 0.7111  5 Mo 2.56-2.87, 1 Mg 2.79
Mo2 0.4834 0.0000 0.4954  5 Mo 2.56-2.87, 2 Cu 2.83


> Which of these has the highest offset from the most stable computed form?

number 1